No. 1
A relaxed Th2GaSi2 crystal, computed with PBE.

abc: 5.9245 5.9245 10.8230
angles: 113.73 113.73 41.55
Positions (direct):
Th 0.1014 0.1014 0.4020
Th 0.2973 0.2973 0.8543
Th 0.7027 0.7027 0.1457
Th 0.8986 0.8986 0.5980
Ga 0.4336 0.4336 0.1872
Ga 0.5664 0.5664 0.8128
Si 0.0369 0.0369 0.9135
Si 0.3697 0.3697 0.3820
Si 0.6303 0.6303 0.6180
Si 0.9631 0.9631 0.0865

Properties
Total moment   0.00 μB per formula unit
Raw formation energy   -3.07 eV/f.u.
Space group   C2/m (12)

---

No. 2
A relaxed Th3Ga2Si crystal, computed with PBE.

abc: 12.3046 4.1811 11.8793
angles: 90.00 90.00 90.00
Positions (direct):
Th 0.0549 0.2500 0.1166
Th 0.1133 0.7500 0.5572
Th 0.2142 0.2500 0.7836
Th 0.2858 0.7500 0.2836
Th 0.3867 0.2500 0.0572
Th 0.4451 0.7500 0.6166
Th 0.5549 0.2500 0.3834
Th 0.6133 0.7500 0.9428
Th 0.7142 0.2500 0.7164
Th 0.7858 0.7500 0.2164
Th 0.8867 0.2500 0.4428
Th 0.9451 0.7500 0.8834
Ga 0.0222 0.7500 0.3046
Ga 0.1975 0.7500 0.9948
Ga 0.3025 0.2500 0.4948
Ga 0.4778 0.2500 0.8046
Ga 0.5222 0.7500 0.1954
Ga 0.6975 0.7500 0.5052
Ga 0.8025 0.2500 0.0052
Ga 0.9778 0.2500 0.6954
Si 0.1308 0.2500 0.3695
Si 0.3692 0.7500 0.8695
Si 0.6308 0.2500 0.1305
Si 0.8692 0.7500 0.6305

Properties
Total moment   0.00 μB per formula unit
Raw formation energy   -2.99 eV/f.u.
Space group   Pnma (62)